# Ac3La2Pm

A relaxed structure of Ac3La2Pm (GGA-PBE, the Alexandria database).

Values from the calculation:
As for the density of states at the Fermi level: 1.681 states/eV per atom. As for the symmetry: P2_1/m (11). Its density is 7.46 Mg/m³. The value obtained for the total energy is -53.26 eV/cell.

Unit cell a=3.9358 b=9.1106 c=13.6984 alpha=89.92 beta=90.00 gamma=90.00
With the nearest neighbours (Å) after each atom.
Fractional positions:
1 La 0.7500 0.6476 0.5550  2 Pm 3.59, 4 La 3.66-3.94, 2 Ac 3.85
2 Ac 0.7500 0.0866 0.6099  2 Pm 3.70, 4 La 3.83-4.07, 6 Ac 3.93-3.95
3 Pm 0.2500 0.8093 0.7457  4 La 3.59-3.73, 5 Ac 3.63-3.76, 2 Pm 3.94
4 Ac 0.7500 0.6028 0.2492  1 Pm 3.76, 7 Ac 3.94-4.18, 4 La 3.97-4.03
5 Pm 0.7500 0.1907 0.2543  4 La 3.59-3.73, 5 Ac 3.63-3.76, 2 Pm 3.94
6 La 0.7500 0.0812 0.8893  2 Pm 3.73, 6 Ac 3.80-3.97, 4 La 3.90-3.94
7 Ac 0.2500 0.3972 0.7508  1 Pm 3.76, 7 Ac 3.94-4.18, 4 La 3.97-4.03
8 Ac 0.7500 0.6625 0.9463  2 Pm 3.63, 3 La 3.80-3.89, 4 Ac 3.85-3.94
9 La 0.2500 0.9188 0.1107  2 Pm 3.73, 6 Ac 3.80-3.97, 4 La 3.90-3.94
10 La 0.2500 0.3524 0.4450  2 Pm 3.59, 4 La 3.66-3.94, 2 Ac 3.85
11 Ac 0.2500 0.3375 0.0537  2 Pm 3.63, 3 La 3.80-3.89, 4 Ac 3.85-3.94
12 Ac 0.2500 0.9134 0.3901  2 Pm 3.70, 4 La 3.83-4.07, 6 Ac 3.93-3.95